The following is a PBE-GGA calculation of crystalline LiSi2Os at its relaxed geometry, from the Alexandria database.

Properties
distance to the lowest polymorph of the same formula	507.7	meV/atom
DFT total energy	-5.746	eV per atom
ρ	7.35	g/cm3
formation energy (no corrections)	0.25	eV/atom

Lattice parameters (Å, degrees): 2.7675 2.7675 8.1696 90.00 90.00 113.77
Closest atoms and distances in Å follow each position.
Sites, in units of the cell vectors:
Si  0.5000  0.5000  0.2340  6 Si 2.47-2.77, 2 Li 2.66
Si  0.0000  0.0000  0.9946  2 Os 2.38, 2 Si 2.47
Li  0.0000  0.0000  0.5014  2 Si 2.66, 2 Os 2.67, 4 Li 2.77
Os  0.5000  0.5000  0.7700  2 Si 2.38



The following is a PBE-GGA calculation of crystalline FePdS2N at its relaxed geometry, from the Alexandria database.

Properties
distance to the lowest polymorph of the same formula	0.0	meV/atom
DFT total energy	-5.602	eV per atom
ρ	5.59	g/cm3
formation energy (no corrections)	0.44	eV/atom

Lattice parameters (Å, degrees): 4.6120 4.6120 3.3557 90.00 90.00 90.00
Closest atoms and distances in Å follow each position.
Sites, in units of the cell vectors:
S  0.5000  0.0000  0.0000  2 Fe 2.31
S  0.0000  0.5000  0.0000  2 Fe 2.31
Pd  0.5000  0.5000  0.5000  8 S 2.85
Fe  0.0000  0.0000  0.0000  2 N 1.68
N  0.0000  0.0000  0.5000  2 Fe 1.68



The following is a PBE-GGA calculation of crystalline Ge6PtRh at its relaxed geometry, from the Alexandria database.

Properties
DFT total energy	-5.283	eV per atom
ρ	8.01	g/cm3

Lattice parameters (Å, degrees): 6.0935 6.3647 7.4811 55.75 54.77 41.44
Closest atoms and distances in Å follow each position.
Sites, in units of the cell vectors:
Ge  0.9804  0.5371  0.2292  1 Pt 2.50, 1 Rh 2.53, 2 Ge 2.54-2.59
Ge  0.0196  0.4629  0.7708  1 Pt 2.50, 1 Rh 2.53, 2 Ge 2.54-2.59
Ge  0.8459  0.9757  0.7627  1 Rh 2.51, 2 Ge 2.54-2.80, 1 Pt 2.55
Ge  0.4992  0.2347  0.3480  1 Rh 2.51, 3 Ge 2.54-2.80, 1 Pt 2.59
Ge  0.5008  0.7653  0.6520  1 Rh 2.51, 3 Ge 2.54-2.80, 1 Pt 2.59
Ge  0.1541  0.0243  0.2373  1 Rh 2.51, 2 Ge 2.54-2.80, 1 Pt 2.55
Rh  0.5000  0.5000  0.5000  6 Ge 2.51-2.53
Pt  0.0000  0.0000  0.0000  6 Ge 2.50-2.59



The following is a PBE-GGA calculation of crystalline PIr2Au2 at its relaxed geometry, from the Alexandria database.

Properties
DFT total energy	-5.859	eV per atom
ρ	15.88	g/cm3

Lattice parameters (Å, degrees): 5.9579 5.9579 4.7670 90.00 90.00 90.00
Closest atoms and distances in Å follow each position.
Sites, in units of the cell vectors:
Au  0.3342  0.1658  0.5000  1 Au 2.79, 6 Ir 2.83-3.05
Au  0.1658  0.6658  0.5000  1 Au 2.79, 6 Ir 2.83-3.05
Au  0.6658  0.8342  0.5000  1 Au 2.79, 6 Ir 2.83-3.05
Au  0.8342  0.3342  0.5000  1 Au 2.79, 6 Ir 2.83-3.05
Ir  0.1539  0.3461  0.0000  2 P 2.26
Ir  0.8461  0.6539  0.0000  2 P 2.26
Ir  0.6539  0.1539  0.0000  2 P 2.26
Ir  0.3461  0.8461  0.0000  2 P 2.26
P  0.0000  0.0000  0.0000  4 Ir 2.26
P  0.5000  0.5000  0.0000  4 Ir 2.26



The following is a PBE-GGA calculation of crystalline NbSi3C at its relaxed geometry, from the Alexandria database.

Properties
distance to the lowest polymorph of the same formula	0.0	meV/atom
DFT total energy	-6.380	eV per atom
ρ	4.79	g/cm3
formation energy (no corrections)	0.73	eV/atom

Lattice parameters (Å, degrees): 4.0334 4.0334 4.0334 90.00 90.00 90.00
Closest atoms and distances in Å follow each position.
Sites, in units of the cell vectors:
Si  0.0000  0.5000  0.0000  2 C 2.02
Si  0.5000  0.0000  0.0000  2 C 2.02
Si  0.0000  0.0000  0.5000  2 C 2.02
Nb  0.5000  0.5000  0.5000  12 Si 2.85
C  0.0000  0.0000  0.0000  6 Si 2.02



The following is a PBE-GGA calculation of crystalline RbPtF at its relaxed geometry, from the Alexandria database.

Properties
distance to the lowest polymorph of the same formula	147.3	meV/atom
DFT total energy	-4.159	eV per atom
ρ	7.41	g/cm3
formation energy (no corrections)	-1.20	eV/atom

Lattice parameters (Å, degrees): 7.1094 7.1094 3.6484 90.00 90.00 133.24
Closest atoms and distances in Å follow each position.
Sites, in units of the cell vectors:
Rb  0.1501  0.8499  0.7500  4 F 2.85-2.86
Rb  0.8499  0.1501  0.2500  4 F 2.85-2.86
Pt  0.4357  0.5643  0.7500  2 F 2.38, 2 Pt 2.48
Pt  0.5643  0.4357  0.2500  2 F 2.38, 2 Pt 2.48
F  0.3187  0.6813  0.2500  2 Pt 2.38
F  0.6813  0.3187  0.7500  2 Pt 2.38



The following is a PBE-GGA calculation of crystalline BaTaSe4 at its relaxed geometry, from the Alexandria database.

Properties
distance to the lowest polymorph of the same formula	0.0	meV/atom
DFT total energy	-5.608	eV per atom
ρ	6.14	g/cm3
formation energy (no corrections)	-0.99	eV/atom

Lattice parameters (Å, degrees): 6.2246 9.3056 8.2129 55.49 74.05 60.99
Closest atoms and distances in Å follow each position.
Sites, in units of the cell vectors:
Ba  0.2500  0.6399  0.7203  8 Se 3.34-3.46
Ba  0.7500  0.3601  0.2797  8 Se 3.34-3.46
Se  0.4242  0.2495  0.6997  2 Ta 2.68-2.69
Se  0.9242  0.9491  0.3003  2 Ta 2.68-2.69
Se  0.5758  0.7505  0.3003  2 Ta 2.68-2.69
Se  0.1779  0.6872  0.1226  2 Ta 2.69-2.72
Se  0.8221  0.3128  0.8774  2 Ta 2.69-2.72
Se  0.0758  0.0509  0.6997  2 Ta 2.68-2.69
Se  0.6779  0.8098  0.8774  2 Ta 2.69-2.72
Se  0.3221  0.1902  0.1226  2 Ta 2.69-2.72
Ta  0.7500  0.0006  0.9989  8 Se 2.68-2.72
Ta  0.2500  0.9994  0.0011  8 Se 2.68-2.72



The following is a PBE-GGA calculation of crystalline Sn2RhF at its relaxed geometry, from the Alexandria database.

Properties
distance to the lowest polymorph of the same formula	143.8	meV/atom
DFT total energy	-4.898	eV per atom
ρ	6.19	g/cm3
formation energy (no corrections)	-0.59	eV/atom

Lattice parameters (Å, degrees): 5.4582 5.4582 7.5388 68.78 68.78 90.00
Closest atoms and distances in Å follow each position.
Sites, in units of the cell vectors:
F  0.5000  0.5000  0.0000  4 Sn 2.48
F  0.2500  0.7500  0.5000  4 Sn 2.48
Rh  0.0000  0.0000  0.0000  4 Sn 2.55
Rh  0.7500  0.2500  0.5000  4 Sn 2.55
Sn  0.6132  0.1250  0.2500  2 F 2.48, 2 Rh 2.55
Sn  0.3750  0.3868  0.7500  2 F 2.48, 2 Rh 2.55
Sn  0.1368  0.6250  0.2500  2 F 2.48, 2 Rh 2.55
Sn  0.8750  0.8632  0.7500  2 F 2.48, 2 Rh 2.55



The following is a PBE-GGA calculation of crystalline Ba2Ca2I at its relaxed geometry, from the Alexandria database.

Properties
distance to the lowest polymorph of the same formula	0.0	meV/atom
DFT total energy	-2.156	eV per atom
ρ	2.88	g/cm3
formation energy (no corrections)	-0.28	eV/atom

Lattice parameters (Å, degrees): 9.1761 9.1761 6.6058 90.00 90.00 90.00
Closest atoms and distances in Å follow each position.
Sites, in units of the cell vectors:
Ca  0.8559  0.3559  0.5000  1 Ca 3.74, 2 Ba 4.18
Ca  0.3559  0.1441  0.5000  1 Ca 3.74, 2 Ba 4.18
Ca  0.6441  0.8559  0.5000  1 Ca 3.74, 2 Ba 4.18
Ca  0.1441  0.6441  0.5000  1 Ca 3.74, 2 Ba 4.18
I  0.0000  0.0000  0.0000  4 Ba 3.45
I  0.5000  0.5000  0.0000  4 Ba 3.45
Ba  0.3411  0.8411  0.0000  2 I 3.45
Ba  0.8411  0.6589  0.0000  2 I 3.45
Ba  0.6589  0.1589  0.0000  2 I 3.45
Ba  0.1589  0.3411  0.0000  2 I 3.45



The following is a PBE-GGA calculation of crystalline Sn2MoRh at its relaxed geometry, from the Alexandria database.

Properties
distance to the lowest polymorph of the same formula	0.0	meV/atom
DFT total energy	-6.550	eV per atom
ρ	10.17	g/cm3

Lattice parameters (Å, degrees): 4.6532 4.6532 4.6532 60.00 60.00 60.00
Closest atoms and distances in Å follow each position.
Sites, in units of the cell vectors:
Sn  0.2500  0.2500  0.2500  4 Rh 2.85, 4 Mo 2.85
Sn  0.7500  0.7500  0.7500  4 Mo 2.85, 4 Rh 2.85
Mo  0.0000  0.0000  0.0000  8 Sn 2.85
Rh  0.5000  0.5000  0.5000  8 Sn 2.85



The following is a PBE-GGA calculation of crystalline MnGa3Te at its relaxed geometry, from the Alexandria database.

Properties
DFT total energy	-3.938	eV per atom
ρ	6.03	g/cm3
formation energy (no corrections)	0.34	eV/atom

Lattice parameters (Å, degrees): 4.7602 4.7602 4.7602 90.00 90.00 90.00
Closest atoms and distances in Å follow each position.
Sites, in units of the cell vectors:
Te  0.5000  0.5000  0.5000  12 Ga 3.37
Ga  0.0000  0.5000  0.0000  2 Mn 2.38
Ga  0.5000  0.0000  0.0000  2 Mn 2.38
Ga  0.0000  0.0000  0.5000  2 Mn 2.38
Mn  0.0000  0.0000  0.0000  6 Ga 2.38



The following is a PBE-GGA calculation of crystalline La4Pr2Ho3 at its relaxed geometry, from the Alexandria database.

Properties
distance to the lowest polymorph of the same formula	0.0	meV/atom
DFT total energy	-4.722	eV per atom
ρ	6.97	g/cm3

Lattice parameters (Å, degrees): 3.6558 3.6558 27.4203 90.00 90.00 120.00
Closest atoms and distances in Å follow each position.
Sites, in units of the cell vectors:
Ho  0.0000  0.0000  0.3287  9 Ho 3.50-3.66, 3 La 3.59
Ho  0.6667  0.3333  0.4305  9 Ho 3.50-3.66, 3 La 3.61
Ho  0.0000  0.0000  0.7595  3 Pr 3.57, 3 La 3.60, 6 Ho 3.66
La  0.6667  0.3333  0.8659  3 Ho 3.60, 9 La 3.66-3.89
La  0.0000  0.0000  0.9849  3 Pr 3.65, 9 La 3.66-3.89
La  0.0000  0.0000  0.5372  3 Ho 3.61, 6 La 3.66, 3 Pr 3.85
La  0.6667  0.3333  0.2228  1 Pr 3.55, 3 Ho 3.59, 6 La 3.66
Pr  0.6667  0.3333  0.0933  4 La 3.55-3.65, 6 Pr 3.66
Pr  0.6667  0.3333  0.6545  3 Ho 3.57, 6 Pr 3.66, 3 La 3.85



Ordered volume results: 14.3, 14.3, 19.0, 16.9, 13.1, 22.4, 28.6, 24.1, 55.6, 17.8, 21.6, 35.3; unit Å³/atom.